V2H3Rh3 | PBE | relaxed

Unit cell a=2.8133 b=5.2890 c=11.0878 alpha=89.29 beta=90.00 gamma=105.42
Atoms (fractional coordinates):
H1 0.7713 0.5426 0.5079
H2 0.1744 0.3488 0.2773
H3 0.1165 0.2331 0.5010
H4 0.8543 0.7085 0.8728
H5 0.1825 0.3650 0.8833
H6 0.8138 0.6276 0.0626
Rh1 0.0115 0.0230 0.3760
Rh2 0.7778 0.5556 0.2225
Rh3 0.6307 0.2613 0.6059
Rh4 0.0253 0.0506 0.8147
Rh5 0.0400 0.0801 0.1376
Rh6 0.2968 0.5935 0.7577
V1 0.6583 0.3165 0.9833
V2 0.4002 0.8004 0.9917
V3 0.3082 0.6164 0.4136
V4 0.9184 0.8369 0.5965

Output
Fermi-level density of states   0.7101 states/eV/atom
Symmetry   Cm, No. 8
ρ   8.6 g cm⁻³
M_tot   0.00 μB/atom
VASP energy   -6.4026 eV/atom

***

Li2HgOs | PBE | relaxed

Unit cell a=4.5632 b=2.7265 c=5.0771 alpha=86.74 beta=90.00 gamma=90.00
Atoms (fractional coordinates):
Os1 0.5000 0.2500 0.2500
Hg1 0.5000 0.7500 0.7500
Li1 0.0000 0.9678 0.0356
Li2 0.0000 0.5322 0.4644

Output
Fermi-level density of states   0.3997 states/eV/atom
Symmetry   P2/m, No. 10
ΔE_f   23.38 kJ/mol of atoms
ρ   10.7 g cm⁻³
M_tot   0.00 μB/atom

***

AlCdMo2 | PBE | relaxed

Unit cell a=3.4100 b=3.4100 c=5.9235 alpha=90.00 beta=90.00 gamma=90.00
Atoms (fractional coordinates):
Cd1 0.5000 0.5000 0.7500
Mo1 0.0000 0.0000 0.4514
Mo2 0.0000 0.0000 0.0486
Al1 0.5000 0.5000 0.2500

Output
Fermi-level density of states   0.7347 states/eV/atom
Symmetry   P4/mmm, No. 123
ΔE_f   23.18 kJ/mol of atoms
Energy above the lowest structure with this stoichiometry   0.1390 eV per atom
ρ   8.0 g cm⁻³
M_tot   0.00 μB/atom

***

Cu3AgH | PBE | relaxed

Unit cell a=3.8319 b=3.8319 c=3.8319 alpha=90.00 beta=90.00 gamma=90.00
Atoms (fractional coordinates):
Cu1 0.5000 0.0000 0.0000
Cu2 0.0000 0.0000 0.5000
Cu3 0.0000 0.5000 0.0000
Ag1 0.5000 0.5000 0.5000
H1 0.0000 0.0000 0.0000

Output
Fermi-level density of states   0.2468 states/eV/atom
Symmetry   Pm-3m, No. 221
Energy above the lowest structure with this stoichiometry   0.0000 eV per atom
ρ   8.8 g cm⁻³
M_tot   0.00 μB/atom